(1)
Material: HfTaNiRu
Method: DFT, PBE-GGA
State: relaxed

SG	F-43m (216)
ΔH_f (0 K)	-36	kJ/mol of atoms
magnetic moment	0.0	μB per formula unit

a b c (Å): 4.4937 4.4937 4.4937
angles (deg): 60.00 60.00 60.00
Atoms (fractional coordinates):
Ni: 0.0000 0.0000 0.0000
Ru: 0.5000 0.5000 0.5000
Hf: 0.2500 0.2500 0.2500
Ta: 0.7500 0.7500 0.7500

(2)
Material: TbHfNiRu
Method: DFT, PBE-GGA
State: relaxed

SG	F-43m (216)
ΔH_f (0 K)	-40	kJ/mol of atoms
magnetic moment	0.0	μB per formula unit

a b c (Å): 4.6812 4.6812 4.6812
angles (deg): 60.00 60.00 60.00
Atoms (fractional coordinates):
Ni: 0.7500 0.7500 0.7500
Tb: 0.5000 0.5000 0.5000
Hf: 0.0000 0.0000 0.0000
Ru: 0.2500 0.2500 0.2500

(3)
Material: HfTiNiRu
Method: DFT, PBE-GGA
State: relaxed

SG	F-43m (216)
ΔH_f (0 K)	-51	kJ/mol of atoms
magnetic moment	0.0	μB per formula unit

a b c (Å): 4.4440 4.4440 4.4440
angles (deg): 60.00 60.00 60.00
Atoms (fractional coordinates):
Ru: 0.5000 0.5000 0.5000
Ti: 0.2500 0.2500 0.2500
Hf: 0.7500 0.7500 0.7500
Ni: 0.0000 0.0000 0.0000

(4)
Material: HfVNiRu
Method: DFT, PBE-GGA
State: relaxed

SG	F-43m (216)
ΔH_f (0 K)	-28	kJ/mol of atoms
magnetic moment	1.3	μB per formula unit

a b c (Å): 4.3914 4.3914 4.3914
angles (deg): 60.00 60.00 60.00
Each line ends with the local moment (μB).
Atoms (fractional coordinates):
Ru: 0.7500 0.7500 0.7500  -0.14
V: 0.0000 0.0000 0.0000  1.03
Hf: 0.5000 0.5000 0.5000  0.00
Ni: 0.2500 0.2500 0.2500  0.29

(5)
Material: YHfNiRu
Method: DFT, PBE-GGA
State: relaxed

SG	F-43m (216)
ΔH_f (0 K)	-41	kJ/mol of atoms
magnetic moment	0.0	μB per formula unit

a b c (Å): 4.6793 4.6793 4.6793
angles (deg): 60.00 60.00 60.00
Atoms (fractional coordinates):
Y: 0.5000 0.5000 0.5000
Ru: 0.7500 0.7500 0.7500
Hf: 0.0000 0.0000 0.0000
Ni: 0.2500 0.2500 0.2500

(6)
Material: HfZnNiRu2
Method: DFT, PBE-GGA
State: relaxed

SG	P4/mmm (123)
ΔH_f (0 K)	128	kJ/mol of atoms
magnetic moment	1.7	μB per formula unit

a b c (Å): 4.7565 4.5577 4.7565
angles (deg): 90.00 90.00 90.00
Each line ends with the local moment (μB).
Atoms (fractional coordinates):
Ru: 0.0000 0.0000 0.5000  0.92
Ru: 0.5000 0.0000 0.0000  0.72
Zn: 0.5000 0.5000 0.5000  -0.01
Hf: 0.0000 0.0000 0.0000  -0.10
Ni: 0.0000 0.5000 0.0000  0.13

(7)
Material: HfZnNiRu
Method: DFT, PBE-GGA
State: relaxed

SG	Pmmm (47)
ΔH_f (0 K)	-45	kJ/mol of atoms
magnetic moment	0.0	μB per formula unit
polymorph energy (0 for the lowest one)	0.000	kcal/mol of atoms

a b c (Å): 3.3875 4.2104 4.1142
angles (deg): 90.00 90.00 90.00
Atoms (fractional coordinates):
Hf: 0.5000 0.0000 0.5000
Zn: 0.5000 0.5000 0.0000
Ni: 0.0000 0.5000 0.5000
Ru: 0.0000 0.0000 0.0000

(8)
Material: HfZnNiRu
Method: DFT, PBE-GGA
State: relaxed

SG	F-43m (216)
ΔH_f (0 K)	-41	kJ/mol of atoms
magnetic moment	0.0	μB per formula unit
polymorph energy (0 for the lowest one)	0.916	kcal/mol of atoms

a b c (Å): 4.3753 4.3753 4.3753
angles (deg): 60.00 60.00 60.00
Atoms (fractional coordinates):
Ru: 0.7500 0.7500 0.7500
Zn: 0.0000 0.0000 0.0000
Hf: 0.5000 0.5000 0.5000
Ni: 0.2500 0.2500 0.2500

| no. | raw total energy (eV per atom) |
| --- | --- |
| 1 | -9.59 |
| 2 | -7.83 |
| 3 | -8.75 |
| 4 | -8.82 |
| 5 | -8.29 |
| 6 | -5.79 |
| 7 | -7.03 |
| 8 | -6.99 |